A relaxed RbNaFe2Br8 crystal, computed with PBE.

Formation energy from raw total energies in eV per atom: -0.897
Symmetry: No. 12
Calculated density in g cm⁻³: 3.036

Unit cell a=7.0168 b=7.0168 c=10.3626 alpha=85.06 beta=85.06 gamma=67.84
Last column: nearest neighbours and their distance in Å.
Positions (direct):
Na (0.0000, 0.0000, 0.0000)  6 Br 3.02-3.04
Br (0.6997, 0.6997, 0.4156)  1 Fe 2.35
Br (0.7337, 0.2457, 0.2212)  1 Fe 2.38
Br (0.2663, 0.7543, 0.7788)  1 Fe 2.38
Br (0.7396, 0.7396, 0.0323)  1 Fe 2.34
Br (0.2457, 0.7337, 0.2212)  1 Fe 2.38
Br (0.2604, 0.2604, 0.9677)  1 Fe 2.34
Fe (0.3884, 0.3884, 0.7782)  4 Br 2.34-2.38
Br (0.3003, 0.3003, 0.5844)  1 Fe 2.35
Rb (0.0000, 0.0000, 0.5000)  6 Br 3.53-3.69
Fe (0.6116, 0.6116, 0.2218)  4 Br 2.34-2.38
Br (0.7543, 0.2663, 0.7788)  1 Fe 2.38


A relaxed RbNaFeBr4 crystal, computed with PBE.

Formation energy from raw total energies in eV per atom: -1.116
Symmetry: No. 11
Calculated density in g cm⁻³: 3.356

Unit cell a=7.1663 b=7.5768 c=9.2486 alpha=90.00 beta=107.54 gamma=90.00
Last column: nearest neighbours and their distance in Å.
Positions (direct):
Br (0.5837, 0.2500, 0.8553)  1 Fe 2.44
Br (0.0024, 0.4986, 0.7207)  1 Fe 2.45
Rb (0.2467, 0.2500, 0.0605)  6 Br 3.39-3.63
Br (0.0024, 0.0014, 0.7207)  1 Fe 2.45
Rb (0.7533, 0.7500, 0.9395)  6 Br 3.39-3.63
Br (0.4163, 0.7500, 0.1447)  1 Fe 2.44
Br (0.9976, 0.9986, 0.2793)  1 Fe 2.45
Br (0.4492, 0.7500, 0.5785)  1 Fe 2.41
Na (0.2213, 0.2500, 0.5535)  6 Br 2.97-3.19
Fe (0.7729, 0.2500, 0.6760)  4 Br 2.41-2.45
Br (0.9976, 0.5014, 0.2793)  1 Fe 2.45
Fe (0.2271, 0.7500, 0.3240)  4 Br 2.41-2.45
Na (0.7787, 0.7500, 0.4465)  6 Br 2.97-3.19
Br (0.5508, 0.2500, 0.4215)  1 Fe 2.41


A relaxed Rb2NaFeBr6 crystal, computed with PBE.

Formation energy from raw total energies in eV per atom: -1.086
Symmetry: No. 225
Calculated density in g cm⁻³: 3.974

Unit cell a=7.5519 b=7.5519 c=7.5533 alpha=60.01 beta=60.01 gamma=90.00
Last column: nearest neighbours and their distance in Å.
Positions (direct):
Na (0.5000, 0.5000, 0.0000)  6 Br 2.89
Br (0.7704, 0.7704, 0.0000)  1 Fe 2.45
Br (0.2296, 0.2296, 0.0000)  1 Fe 2.45
Rb (0.2500, 0.7500, 0.5000)  12 Br 3.78
Br (0.2296, 0.7704, 0.0000)  1 Fe 2.45
Br (0.7704, 0.2296, 0.0000)  1 Fe 2.45
Br (0.2297, 0.2297, 0.5406)  1 Fe 2.45
Rb (0.7500, 0.2500, 0.5000)  12 Br 3.78
Br (0.7703, 0.7703, 0.4594)  1 Fe 2.45
Fe (0.0000, 0.0000, 0.0000)  6 Br 2.45


What did the third record say?
A relaxed Rb2NaFeBr6 crystal, computed with PBE.

Formation energy from raw total energies in eV per atom: -1.086
Symmetry: No. 225
Calculated density in g cm⁻³: 3.974

Unit cell a=7.5519 b=7.5519 c=7.5533 alpha=60.01 beta=60.01 gamma=90.00
Last column: nearest neighbours and their distance in Å.
Positions (direct):
Na (0.5000, 0.5000, 0.0000)  6 Br 2.89
Br (0.7704, 0.7704, 0.0000)  1 Fe 2.45
Br (0.2296, 0.2296, 0.0000)  1 Fe 2.45
Rb (0.2500, 0.7500, 0.5000)  12 Br 3.78
Br (0.2296, 0.7704, 0.0000)  1 Fe 2.45
Br (0.7704, 0.2296, 0.0000)  1 Fe 2.45
Br (0.2297, 0.2297, 0.5406)  1 Fe 2.45
Rb (0.7500, 0.2500, 0.5000)  12 Br 3.78
Br (0.7703, 0.7703, 0.4594)  1 Fe 2.45
Fe (0.0000, 0.0000, 0.0000)  6 Br 2.45


What is the calculated density in the first record? 3.036 g cm⁻³


What is the formula in the third record? Rb2NaFeBr6


Which value of calculated density does entry 3 give? 3.974 g cm⁻³